Entry 1:
# AlPOs4

Crystalline AlPOs4 at its relaxed geometry (GGA-PBE, the Alexandria database).

abc: 5.153 5.153 5.153
angles: 60.00 60.00 60.00
Fractional coordinates of all 6 atoms:
Os 0.375 0.874 0.375
Os 0.874 0.375 0.375
Al 0.000 0.000 0.000
Os 0.375 0.375 0.375
P 0.750 0.750 0.750
Os 0.375 0.375 0.874

Calculated values
calculated volume	16.12	Å³/atom
size of the total moment	0.00	μB/f.u.
space-group type	No. 216
formation energy from the elements	858	meV/atom

Entry 2:
# AlP2Os

Crystalline AlP2Os at its relaxed geometry (GGA-PBE, the Alexandria database).

abc: 5.479 5.479 6.489
angles: 65.03 65.03 90.00
Fractional coordinates of all 8 atoms:
Os 0.750 0.250 0.500
Al 0.250 0.750 0.500
P 0.875 0.895 0.750
Os 0.000 0.000 0.000
P 0.375 0.355 0.750
P 0.105 0.625 0.250
P 0.645 0.125 0.250
Al 0.500 0.500 0.000

Calculated values
calculated volume	19.53	Å³/atom
size of the total moment	0.00	μB/f.u.
space-group type	No. 122
formation energy from the elements	-98	meV/atom

Entry 3:
# AlP2Os

Crystalline AlP2Os at its relaxed geometry (GGA-PBE, the Alexandria database).

abc: 4.192 4.192 3.768
angles: 76.34 76.34 103.71
Fractional coordinates of all 4 atoms:
P 0.500 0.500 0.000
P 0.000 0.000 0.000
Al 0.500 0.000 0.500
Os 0.000 0.500 0.500

Calculated values
calculated volume	14.86	Å³/atom
size of the total moment	0.00	μB/f.u.
space-group type	No. 12
formation energy from the elements	263	meV/atom

Entry 4:
# AlPOs

Crystalline AlPOs at its relaxed geometry (GGA-PBE, the Alexandria database).

abc: 2.997 2.997 5.592
angles: 90.00 90.00 120.00
Fractional coordinates of all 3 atoms:
Al 0.000 0.000 0.000
Os 0.667 0.333 0.353
P 0.333 0.667 0.647

Calculated values
calculated volume	14.50	Å³/atom
distance to the lowest polymorph of the same formula	0.000	eV/atom
size of the total moment	0.00	μB/f.u.
space-group type	No. 156
formation energy from the elements	-204	meV/atom